# PBE with a Hubbard U Cs2CoAuF, relaxed
# VASP energy = -14.1 eV/f.u.
# Density of states at the Fermi level = 0.100 states/eV/atom
data_Cs2CoAuF
_chemical_formula_sum 'Cs2 Co1 Au1 F1'
_symmetry_space_group_name_H-M 'P 1'
_symmetry_Int_Tables_number 1
_symmetry_space_group_name_Hall 'P 1'
_cell_length_a 6.557
_cell_length_b 6.557
_cell_length_c 4.948
_cell_angle_alpha 90.00
_cell_angle_beta 90.00
_cell_angle_gamma 90.00
loop_
_atom_site_label
_atom_site_fract_x
_atom_site_fract_y
_atom_site_fract_z
Cs1 0.000 0.500 0.000
Cs2 0.500 0.000 0.000
Co1 0.000 0.000 0.000
Au1 0.000 0.000 0.500
F1 0.500 0.500 0.500